{
  "formula": "TlCo3Ru4O12",
  "functional": "PBE with a Hubbard U",
  "state": "optimized geometry",
  "lattice": [[-3.7881, 3.7881, 3.7881], [3.7881, -3.7881, 3.7881], [3.7881, 3.7881, -3.7881]],
  "species": ["Tl", "Co", "Co", "Co", "Ru", "Ru", "Ru", "Ru", "O", "O", "O", "O", "O", "O", "O", "O", "O", "O", "O", "O"],
  "frac_coords": [[0.0000, 0.0000, 0.0000], [0.0000, 0.5000, 0.5000], [0.5000, 0.0000, 0.5000], [0.5000, 0.5000, 0.0000], [0.0000, 0.0000, 0.5000], [0.0000, 0.5000, 0.0000], [0.5000, 0.0000, 0.0000], [0.5000, 0.5000, 0.5000], [0.1351, 0.3178, 0.8174], [0.1826, 0.5004, 0.3178], [0.1826, 0.8649, 0.6822], [0.3178, 0.1826, 0.5004], [0.3178, 0.8174, 0.1351], [0.5004, 0.3178, 0.1826], [0.4996, 0.6822, 0.8174], [0.6822, 0.1826, 0.8649], [0.6822, 0.8174, 0.4996], [0.8174, 0.1351, 0.3178], [0.8174, 0.4996, 0.6822], [0.8649, 0.6822, 0.1826]],
  "vol_a3_per_atom": 10.87,
  "magnetic_moment_mub_per_fu": 0.17,
  "e_tot_ev_per_atom": -6.58,
  "spacegroup": "No. 204"
}